No. 1
ZrFeP2, relaxed, DFT GGA-PBE; Fermi-level density of states = 2.93 states/eV/f.u.; energy of formation = -0.342 eV per atom; spin magnetization = 1.21 Bohr magnetons per cell; mass density = 6.2 g/cm³; E above lowest polymorph = 428.1 meV/atom
1.0
2.9900 0.0000 0.0000
0.0000 2.9900 0.0000
0.0000 0.0000 6.3037
Zr Fe P
1 1 2
Direct
0.0000 0.0000 0.0000 Zr
0.0000 0.0000 0.5000 Fe
0.5000 0.5000 0.2968 P
0.5000 0.5000 0.7032 P



No. 2
ZrFeP2, relaxed, DFT GGA-PBE; Fermi-level density of states = 1.00 states/eV/f.u.; energy of formation = -0.685 eV per atom; spin magnetization = 0.00 Bohr magnetons per cell; mass density = 5.8 g/cm³; E above lowest polymorph = 84.8 meV/atom
1.0
-1.6612 1.6732 5.3462
1.6612 -1.6732 5.3462
1.6612 1.6732 -5.3462
Zr Fe P
1 1 2
Direct
0.0000 0.0000 0.0000 Zr
0.2530 0.7530 0.5000 Fe
0.3959 0.3959 0.0000 P
0.6895 0.1895 0.5000 P



No. 3
ZrFeP2, relaxed, DFT GGA-PBE; Fermi-level density of states = 2.85 states/eV/f.u.; energy of formation = -0.662 eV per atom; spin magnetization = 1.00 Bohr magnetons per cell; mass density = 5.7 g/cm³; E above lowest polymorph = 108.2 meV/atom
1.0
3.4143 0.0000 0.0000
0.0000 3.6617 0.0000
0.0000 0.0000 4.8668
Zr Fe P
1 1 2
Direct
0.0000 0.0000 0.0000 Zr
0.5000 0.0000 0.5000 Fe
0.5000 0.5000 0.2448 P
0.5000 0.5000 0.7552 P



No. 4
ZrFeP2, relaxed, DFT GGA-PBE; Fermi-level density of states = 2.71 states/eV/f.u.; energy of formation = -0.355 eV per atom; spin magnetization = 0.00 Bohr magnetons per cell; mass density = 5.1 g/cm³; E above lowest polymorph = 415.1 meV/atom
1.0
-2.2256 2.2256 6.9123
2.2256 -2.2256 6.9123
2.2256 2.2256 -6.9123
Zr Fe P
2 2 4
Direct
0.0000 0.0000 0.0000 Zr
0.7500 0.2500 0.5000 Zr
0.2500 0.7500 0.5000 Fe
0.5000 0.5000 0.0000 Fe
0.2389 0.6250 0.1139 P
0.3750 0.4889 0.6139 P
0.5111 0.1250 0.8861 P
0.8750 0.7611 0.3861 P



No. 5
ZrFe4P, relaxed, DFT GGA-PBE; Fermi-level density of states = 4.30 states/eV/f.u.; energy of formation = -0.069 eV per atom; spin magnetization = 7.41 Bohr magnetons per cell; mass density = 7.2 g/cm³
1.0
0.0000 3.4080 3.4080
3.4080 0.0000 3.4080
3.4080 3.4080 0.0000
Zr Fe P
1 4 1
Direct
0.0000 0.0000 0.0000 Zr
0.1255 0.6248 0.6248 Fe
0.6248 0.1255 0.6248 Fe
0.6248 0.6248 0.1255 Fe
0.6248 0.6248 0.6248 Fe
0.2500 0.2500 0.2500 P



No. 6
ZrFeP2, relaxed, DFT GGA-PBE; Fermi-level density of states = 2.28 states/eV/f.u.; energy of formation = -0.574 eV per atom; spin magnetization = 0.00 Bohr magnetons per cell; mass density = 5.8 g/cm³; E above lowest polymorph = 196.0 meV/atom
1.0
-1.8372 2.6135 3.1276
1.8372 -2.6135 3.1276
1.8372 2.6135 -3.1276
Zr Fe P
1 1 2
Direct
0.0000 0.0000 0.0000 Zr
0.5000 0.5000 0.0000 Fe
0.3046 0.8046 0.5000 P
0.6954 0.1954 0.5000 P



No. 7
ZrFeP2, relaxed, DFT GGA-PBE; Fermi-level density of states = 3.24 states/eV/f.u.; energy of formation = -0.051 eV per atom; spin magnetization = 0.90 Bohr magnetons per cell; mass density = 5.7 g/cm³; E above lowest polymorph = 718.6 meV/atom
1.0
1.5273 0.8818 7.5719
-1.5273 0.8818 7.5719
0.0000 -1.7635 7.5719
Zr Fe P
1 1 2
Direct
0.0000 0.0000 0.0000 Zr
0.7655 0.7655 0.7655 Fe
0.2424 0.2424 0.2424 P
0.4940 0.4940 0.4940 P



No. 8
ZrFeP2, relaxed, DFT GGA-PBE; Fermi-level density of states = 1.76 states/eV/f.u.; energy of formation = -0.046 eV per atom; spin magnetization = 1.85 Bohr magnetons per cell; mass density = 5.8 g/cm³; E above lowest polymorph = 724.0 meV/atom
1.0
0.0000 3.1073 3.1073
3.1073 0.0000 3.1073
3.1073 3.1073 0.0000
Zr Fe P
1 1 2
Direct
0.0000 0.0000 0.0000 Zr
0.2500 0.2500 0.2500 Fe
0.5000 0.5000 0.5000 P
0.7500 0.7500 0.7500 P



No. 9
ZrFe3P, relaxed, DFT GGA-PBE; Fermi-level density of states = 6.31 states/eV/f.u.; energy of formation = 1.745 eV per atom; spin magnetization = 6.06 Bohr magnetons per cell; mass density = 5.0 g/cm³; E above lowest polymorph = 1817.3 meV/atom
1.0
4.5943 0.0000 0.0000
0.0000 4.5943 0.0000
0.0000 0.0000 4.5943
Zr Fe P
1 3 1
Direct
0.0000 0.0000 0.0000 Zr
0.0000 0.0000 0.5000 Fe
0.0000 0.5000 0.0000 Fe
0.5000 0.0000 0.0000 Fe
0.5000 0.5000 0.5000 P



No. 10
Pa3Fe, relaxed, DFT GGA-PBE; Fermi-level density of states = 6.09 states/eV/f.u.; energy of formation = -0.137 eV per atom; spin magnetization = 0.00 Bohr magnetons per cell; mass density = 14.2 g/cm³; E above lowest polymorph = 0.0 meV/atom
1.0
6.6383 0.0000 0.0000
0.0000 9.1758 0.0000
0.0000 0.0000 5.7700
Pa Fe
12 4
Direct
0.0497 0.2500 0.1466 Pa
0.1651 0.0603 0.6377 Pa
0.1651 0.4397 0.6377 Pa
0.3349 0.5603 0.1377 Pa
0.3349 0.9397 0.1377 Pa
0.4503 0.7500 0.6466 Pa
0.5497 0.2500 0.3534 Pa
0.6651 0.0603 0.8623 Pa
0.6651 0.4397 0.8623 Pa
0.8349 0.5603 0.3623 Pa
0.8349 0.9397 0.3623 Pa
0.9503 0.7500 0.8534 Pa
0.1332 0.7500 0.4114 Fe
0.3668 0.2500 0.9114 Fe
0.6332 0.7500 0.0886 Fe
0.8668 0.2500 0.5886 Fe



No. 11
Pa3Fe, relaxed, DFT GGA-PBE; Fermi-level density of states = 7.26 states/eV/f.u.; energy of formation = 0.170 eV per atom; spin magnetization = 0.00 Bohr magnetons per cell; mass density = 14.3 g/cm³; E above lowest polymorph = 307.5 meV/atom
1.0
3.0878 0.0000 0.0000
0.0000 3.2248 0.0000
0.0000 0.0000 8.7393
Pa Fe
3 1
Direct
0.0000 0.0000 0.0000 Pa
0.0000 0.5000 0.3061 Pa
0.5000 0.5000 0.7154 Pa
0.5000 0.0000 0.4981 Fe



No. 12
Pa4Fe, relaxed, DFT GGA-PBE; Fermi-level density of states = 9.47 states/eV/f.u.; energy of formation = 0.284 eV per atom; spin magnetization = 0.00 Bohr magnetons per cell; mass density = 13.0 g/cm³
1.0
5.0009 0.0000 0.0000
0.0000 5.0009 0.0000
0.0000 0.0000 5.0009
Pa Fe
4 1
Direct
0.0000 0.0000 0.0000 Pa
0.0000 0.5000 0.5000 Pa
0.5000 0.0000 0.5000 Pa
0.5000 0.5000 0.0000 Pa
0.5000 0.5000 0.5000 Fe